(1)
Ba3Ca5Cd2 after structural relaxation, computed with GGA-PBE.

Results
Crystal system: tetragonal
Energy of formation, eV/f.u.: -1.14
Electronic total energy, eV/atom: -1.875
Size of the total moment, μB per cell: 0.00

a b c (Å): 12.721 12.721 5.356
angles (deg): 90.00 90.00 90.00
Sites, in units of the cell vectors:
1 Ba 0.000 0.000 0.000
2 Ba 0.174 0.326 0.000
3 Ba 0.326 0.826 0.000
4 Ba 0.500 0.500 0.000
5 Ba 0.674 0.174 0.000
6 Ba 0.826 0.674 0.000
7 Ca 0.000 0.500 0.500
8 Ca 0.072 0.780 0.500
9 Ca 0.220 0.072 0.500
10 Ca 0.280 0.572 0.500
11 Ca 0.428 0.280 0.500
12 Ca 0.500 0.000 0.500
13 Ca 0.572 0.720 0.500
14 Ca 0.720 0.428 0.500
15 Ca 0.780 0.928 0.500
16 Ca 0.928 0.220 0.500
17 Cd 0.119 0.619 0.000
18 Cd 0.381 0.119 0.000
19 Cd 0.619 0.881 0.000
20 Cd 0.881 0.381 0.000


(2)
BaBiSbRh after structural relaxation, computed with GGA-PBE.

Results
Formation energy from raw total energies, eV per formula unit: -2.6
Crystal system: tetragonal
Electronic total energy, eV/atom: -4.971
Size of the total moment, μB per cell: 0.00

a b c (Å): 4.599 4.599 11.698
angles (deg): 90.00 90.00 90.00
Sites, in units of the cell vectors:
1 Ba 0.250 0.250 0.250
2 Ba 0.750 0.750 0.750
3 Bi 0.250 0.750 0.000
4 Bi 0.750 0.250 0.000
5 Sb 0.250 0.250 0.611
6 Sb 0.750 0.750 0.389
7 Rh 0.250 0.750 0.500
8 Rh 0.750 0.250 0.500


(3)
MoAu2Br after structural relaxation, computed with GGA-PBE.

Results
Formation energy from raw total energies, eV per formula unit: 2.0
Crystal system: orthorhombic
E above lowest polymorph, eV/atom: 0.286
Electronic total energy, eV/atom: -4.256
Size of the total moment, μB per cell: 3.00

a b c (Å): 5.357 5.357 3.531
angles (deg): 90.00 90.00 119.63
Sites, in units of the cell vectors:
1 Mo 0.000 0.000 0.000
2 Au 0.225 0.775 0.500
3 Au 0.775 0.225 0.500
4 Br 0.500 0.500 0.000


(4)
ZnTe after structural relaxation, computed with GGA-PBE.

Results
Formation energy from raw total energies, eV per formula unit: 0.2
Crystal system: orthorhombic
Electronic total energy, eV/atom: -2.114
Size of the total moment, μB per cell: 0.00

a b c (Å): 6.237 6.237 3.990
angles (deg): 90.00 90.00 90.37
Sites, in units of the cell vectors:
1 Zn 0.000 0.000 0.000
2 Zn 0.195 0.805 0.500
3 Zn 0.805 0.195 0.500
4 Te 0.000 0.500 0.000
5 Te 0.500 0.000 0.000
6 Te 0.500 0.500 0.000